[1]
# PBE CaAuSe2N, optimized geometry
data_CaAuSe2N
_cell_length_a 5.323
_cell_length_b 5.323
_cell_length_c 3.947
_cell_angle_alpha 90.00
_cell_angle_beta 90.00
_cell_angle_gamma 90.00
_symmetry_space_group_name_H-M 'P 4/m m m'
_symmetry_Int_Tables_number 123
_symmetry_space_group_name_Hall '-P 4 2'
loop_
_atom_site_label
_atom_site_fract_x
_atom_site_fract_y
_atom_site_fract_z
Ca1 0.000 0.000 0.000
Au1 0.500 0.500 0.500
Se1 0.000 0.500 0.500
N1 0.500 0.500 0.000
# - Energy above the lowest structure with this stoichiometry: 0 meV/atom
# - Formation energy without anion corrections: 0.12 eV/atom



[2]
# PBE CaSi2AuN, optimized geometry
data_CaSi2AuN
_cell_length_a 4.193
_cell_length_b 4.193
_cell_length_c 4.918
_cell_angle_alpha 90.00
_cell_angle_beta 90.00
_cell_angle_gamma 90.00
_symmetry_space_group_name_H-M 'P 4/m m m'
_symmetry_Int_Tables_number 123
_symmetry_space_group_name_Hall '-P 4 2'
loop_
_atom_site_label
_atom_site_fract_x
_atom_site_fract_y
_atom_site_fract_z
Ca1 0.000 0.000 0.000
Si1 0.000 0.500 0.500
Au1 0.500 0.500 0.000
N1 0.500 0.500 0.500
# - Formation energy without anion corrections: 0.44 eV/atom



[3]
# PBE SrCa2AuN, optimized geometry
data_SrCa2AuN
_cell_length_a 4.838
_cell_length_b 4.838
_cell_length_c 5.237
_cell_angle_alpha 90.00
_cell_angle_beta 90.00
_cell_angle_gamma 90.00
_symmetry_space_group_name_H-M 'P 4/m m m'
_symmetry_Int_Tables_number 123
_symmetry_space_group_name_Hall '-P 4 2'
loop_
_atom_site_label
_atom_site_fract_x
_atom_site_fract_y
_atom_site_fract_z
Sr1 0.000 0.000 0.000
Ca1 0.000 0.500 0.500
Au1 0.500 0.500 0.000
N1 0.000 0.000 0.500
# - Formation energy without anion corrections: -0.69 eV/atom



[4]
# PBE CaTeAuN2, optimized geometry
data_CaTeAuN2
_cell_length_a 4.450
_cell_length_b 4.450
_cell_length_c 6.590
_cell_angle_alpha 90.00
_cell_angle_beta 90.00
_cell_angle_gamma 90.00
_symmetry_space_group_name_H-M 'P 4/m m m'
_symmetry_Int_Tables_number 123
_symmetry_space_group_name_Hall '-P 4 2'
loop_
_atom_site_label
_atom_site_fract_x
_atom_site_fract_y
_atom_site_fract_z
Ca1 0.000 0.000 0.000
Te1 0.000 0.000 0.500
Au1 0.500 0.500 0.500
N1 0.000 0.500 0.000
# - Energy above the lowest structure with this stoichiometry: 338 meV/atom
# - Formation energy without anion corrections: 1.31 eV/atom



[5]
# PBE CaTe2AuN, optimized geometry
data_CaTe2AuN
_cell_length_a 5.756
_cell_length_b 5.756
_cell_length_c 3.954
_cell_angle_alpha 90.00
_cell_angle_beta 90.00
_cell_angle_gamma 90.00
_symmetry_space_group_name_H-M 'P 4/m m m'
_symmetry_Int_Tables_number 123
_symmetry_space_group_name_Hall '-P 4 2'
loop_
_atom_site_label
_atom_site_fract_x
_atom_site_fract_y
_atom_site_fract_z
Ca1 0.000 0.000 0.000
Te1 0.000 0.500 0.500
Au1 0.500 0.500 0.500
N1 0.500 0.500 0.000
# - Energy above the lowest structure with this stoichiometry: 0 meV/atom
# - Formation energy without anion corrections: 0.22 eV/atom



[6]
# PBE CaTeAuN2, optimized geometry
data_CaTeAuN2
_cell_length_a 4.295
_cell_length_b 4.295
_cell_length_c 5.750
_cell_angle_alpha 90.00
_cell_angle_beta 90.00
_cell_angle_gamma 90.00
_symmetry_space_group_name_H-M 'P 4/m m m'
_symmetry_Int_Tables_number 123
_symmetry_space_group_name_Hall '-P 4 2'
loop_
_atom_site_label
_atom_site_fract_x
_atom_site_fract_y
_atom_site_fract_z
Ca1 0.000 0.000 0.000
Te1 0.500 0.500 0.000
Au1 0.500 0.500 0.500
N1 0.000 0.500 0.500
# - Energy above the lowest structure with this stoichiometry: 0 meV/atom
# - Formation energy without anion corrections: 0.97 eV/atom